The following is a DFT calculation (PBE) of a geometry-optimized Ta2MnCd structure.

Values from the calculation:
ΔH_f (0 K): 299 meV per atom
ρ: 12.5 Mg/m³
Space group: Pm (6)

Cell lengths 4.3455, 2.9221, 5.6582 Å; angles 77.16, 90.00, 90.00 degrees
With the nearest neighbours (Å) after each atom.
Fractional positions:
Ta 0.5000 0.2619 0.2216  1 Mn 2.41
Ta 0.0000 0.9430 0.9718  2 Mn 2.55, 2 Ta 2.86
Mn 0.5000 0.6840 0.8036  3 Ta 2.41-2.55
Cd 0.0000 0.6111 0.5029  2 Mn 2.80, 2 Cd 2.92, 7 Ta 2.92-3.09